# 1
Computed, not measured: a relaxed VCdI2 crystal at the PBE level of DFT.

Lattice parameters (Å, degrees): 5.397 5.397 5.397 60.00 60.00 60.00
Fractional coordinates of all 4 atoms:
V 0.000 0.000 0.000
I 0.750 0.750 0.750
Cd 0.500 0.500 0.500
I 0.250 0.250 0.250

Values from the calculation:
The calculation puts the total energy at -11.654 eV/cell. Its uncorrected formation energy is 0.37 eV/atom. The calculated volume is 27.80 Å³ per atom. The excess energy over the best structure of this formula in the dataset comes out at 0.398 eV per atom.


# 2
Computed, not measured: a relaxed VCdI crystal at the PBE level of DFT.

Lattice parameters (Å, degrees): 3.548 5.470 8.651 82.41 83.34 79.84
Fractional coordinates of all 6 atoms:
V 0.460 0.318 0.971
I 0.983 0.056 0.177
V 0.325 0.229 0.783
I 0.394 0.528 0.499
Cd 0.833 0.744 0.882
Cd 0.932 0.009 0.569

Values from the calculation:
The calculation puts the total energy at -21.842 eV/cell. Its uncorrected formation energy is 0.22 eV/atom. The calculated volume is 27.18 Å³ per atom. The excess energy over the best structure of this formula in the dataset comes out at 0.070 eV per atom.


# 3
Computed, not measured: a relaxed VCdI3 crystal at the PBE level of DFT.

Lattice parameters (Å, degrees): 5.855 5.855 5.855 90.00 90.00 90.00
Fractional coordinates of all 5 atoms:
I 0.000 0.000 0.500
I 0.000 0.500 0.000
V 0.500 0.500 0.500
I 0.500 0.000 0.000
Cd 0.000 0.000 0.000

Values from the calculation:
The calculation puts the total energy at -12.617 eV/cell. Its uncorrected formation energy is 0.41 eV/atom. The calculated volume is 40.14 Å³ per atom. The excess energy over the best structure of this formula in the dataset comes out at 0.497 eV per atom.


# 4
Computed, not measured: a relaxed VCdI crystal at the PBE level of DFT.

Lattice parameters (Å, degrees): 4.148 3.847 22.032 90.00 90.48 90.00
Fractional coordinates of all 12 atoms:
I 0.834 0.500 0.208
Cd 0.802 0.000 0.966
V 0.617 0.500 0.789
Cd 0.802 0.500 0.466
V 0.644 0.500 0.872
Cd 0.140 0.000 0.845
I 0.834 0.000 0.708
I 0.298 0.500 0.555
V 0.644 0.000 0.372
Cd 0.140 0.500 0.345
V 0.617 0.000 0.289
I 0.298 0.000 0.055

Values from the calculation:
The calculation puts the total energy at -43.999 eV/cell. Its uncorrected formation energy is 0.19 eV/atom. The calculated volume is 29.30 Å³ per atom. The excess energy over the best structure of this formula in the dataset comes out at 0.044 eV per atom.